(1)
Computed, not measured: a relaxed structure of TbPm12Ge4 at the PBE-GGA level of DFT.

spin magnetization = 0.01 μB/f.u.
symmetry = No. 204
uncorrected energy = -4.80 eV/atom
energy of formation = -0.09 eV per atom

POSCAR file:
```
TbPm12Ge4
1.0
-5.2817 5.2817 5.2817
5.2817 -5.2817 5.2817
5.2817 5.2817 -5.2817
Tb Pm Ge
1 12 4
Cartesian
0.0000 0.0000 0.0000
5.2817 3.5083 -1.8322
3.4495 0.0000 1.7734
7.1139 0.0000 1.7734
1.7734 3.4495 0.0000
3.5083 -1.8322 5.2817
0.0000 1.7734 3.4495
5.2817 3.5083 1.8322
1.7734 7.1139 0.0000
3.5083 1.8322 5.2817
-1.8322 5.2817 3.5083
1.8322 5.2817 3.5083
0.0000 1.7734 7.1139
2.6409 2.6409 -2.6409
2.6409 -2.6409 2.6409
-2.6409 2.6409 2.6409
2.6409 2.6409 2.6409
```

***

(2)
Computed, not measured: a relaxed structure of MgNbAu at the PBE-GGA level of DFT.

spin magnetization = 0.00 μB/f.u.
symmetry = No. 2
uncorrected energy = -5.13 eV/atom
energy of formation = -0.15 eV per atom

POSCAR file:
```
MgNbAu
1.0
3.0213 0.0000 0.0000
1.4613 5.0329 0.0000
1.2891 1.3328 7.3546
Mg Nb Au
2 2 2
Cartesian
0.7118 1.0591 1.2155
5.0600 5.3067 6.1391
1.9773 1.9740 3.9219
3.7944 4.3917 3.4328
2.2505 3.3669 1.1981
3.5212 2.9989 6.1565
```

***

(3)
Computed, not measured: a relaxed structure of RbInHIr2 at the PBE-GGA level of DFT.

spin magnetization = 0.00 μB/f.u.
symmetry = No. 123
uncorrected energy = -4.01 eV/atom

POSCAR file:
```
RbInHIr2
1.0
4.2444 0.0000 0.0000
0.0000 4.2444 0.0000
0.0000 0.0000 4.7041
Rb In H Ir
1 1 1 2
Cartesian
0.0000 0.0000 0.0000
2.1222 2.1222 0.0000
2.1222 2.1222 2.3521
0.0000 2.1222 2.3521
2.1222 0.0000 2.3521
```

***

(4)
Computed, not measured: a relaxed structure of CuPbBr2 at the PBE-GGA level of DFT.

spin magnetization = 0.00 μB/f.u.
symmetry = No. 122
uncorrected energy = -2.97 eV/atom

POSCAR file:
```
CuPbBr2
1.0
-3.8535 3.8535 3.6322
3.8535 -3.8535 3.6322
3.8535 3.8535 -3.6322
Cu Pb Br
2 2 4
Cartesian
0.0000 0.0000 0.0000
0.0000 3.8535 1.8161
3.8535 0.0000 1.8161
0.0000 0.0000 3.6322
5.7803 1.2957 -0.9080
1.2957 1.9268 0.9080
-1.9268 2.5578 2.7241
2.5578 1.9268 4.5402
```

***

(5)
Computed, not measured: a relaxed structure of PmNdTe2Br at the PBE-GGA level of DFT.

spin magnetization = 0.00 μB/f.u.
symmetry = No. 129
uncorrected energy = -4.98 eV/atom

POSCAR file:
```
PmNdTe2Br
1.0
4.4867 0.0000 0.0000
0.0000 4.4867 0.0000
0.0000 0.0000 15.2294
Pm Nd Te Br
2 2 4 2
Cartesian
1.1217 1.1217 1.3099
3.3651 3.3651 13.9195
1.1217 1.1217 9.7655
3.3651 3.3651 5.4639
1.1217 1.1217 4.5106
1.1217 1.1217 13.3401
3.3651 3.3651 1.8893
3.3651 3.3651 10.7188
1.1217 3.3651 7.6147
3.3651 1.1217 7.6147
```

***

(6)
Computed, not measured: a relaxed structure of Rb3HgO3 at the PBE-GGA level of DFT.

spin magnetization = 1.01 μB/f.u.
symmetry = No. 176
uncorrected energy = -3.40 eV/atom

POSCAR file:
```
Rb3HgO3
1.0
8.4170 0.0000 0.0000
-4.2085 7.2893 0.0000
0.0000 0.0000 5.9623
Rb Hg O
6 2 6
Cartesian
-0.7710 2.5914 1.4906
-1.5787 6.6613 1.4906
1.8587 1.9634 4.4717
2.3497 5.3259 1.4906
5.7872 0.6280 4.4717
4.9795 4.6979 4.4717
0.0000 4.8595 4.4717
4.2085 2.4298 1.4906
-0.8481 2.9040 4.4717
-1.2695 6.5718 4.4717
2.0909 2.1865 1.4906
2.1176 5.1028 4.4717
5.4780 0.7175 1.4906
5.0566 4.3853 1.4906
```

***

(7)
Computed, not measured: a relaxed structure of NbVAs2 at the PBE-GGA level of DFT.

spin magnetization = 0.00 μB/f.u.
symmetry = No. 160
uncorrected energy = -7.48 eV/atom
energy of formation = -0.36 eV per atom

POSCAR file:
```
NbVAs2
1.0
1.6953 0.9788 6.7638
-1.6953 0.9788 6.7638
0.0000 -1.9575 6.7638
Nb V As
1 1 2
Cartesian
0.0000 0.0000 0.0000
0.0000 0.0000 16.9500
0.0000 0.0000 8.5722
0.0000 0.0000 11.7455
```

***

(8)
Computed, not measured: a relaxed structure of CaZrSc2Rh at the PBE-GGA level of DFT.

spin magnetization = 0.00 μB/f.u.
symmetry = No. 123
uncorrected energy = -6.23 eV/atom
energy of formation = -0.12 eV per atom

POSCAR file:
```
CaZrSc2Rh
1.0
5.1547 0.0000 0.0000
0.0000 5.1547 0.0000
0.0000 0.0000 5.0802
Ca Zr Sc Rh
1 1 2 1
Cartesian
0.0000 0.0000 0.0000
2.5773 2.5773 0.0000
0.0000 2.5773 2.5401
2.5773 0.0000 2.5401
2.5773 2.5773 2.5401
```